(1)
A geometry-optimized Sc4AlRh2 structure. Source: Alexandria via LeMat-Bulk, functional PBE.

Calculated values
volume = 19.137 Å³ per atom
uncorrected energy = -6.8965 eV per atom
energy of formation = -0.6434 eV/atom

```
data_Sc4AlRh2
_chemical_formula_sum 'Sc16 Al4 Rh8'
_space_group_name_H-M_alt 'C m c m'
_space_group_IT_number 63
_space_group_name_Hall '-C 2c 2'
_cell_length_a 4.711
_cell_length_b 8.162
_cell_length_c 13.937
_cell_angle_alpha 90.00
_cell_angle_beta 90.00
_cell_angle_gamma 90.00
loop_
_atom_site_label
_atom_site_type_symbol
_atom_site_fract_x
_atom_site_fract_y
_atom_site_fract_z
Sc1 Sc 0.000 0.000 0.000
Sc2 Sc 0.000 0.333 0.132
Sc3 Sc 0.000 0.334 0.750
Al1 Al 0.000 0.001 0.750
Rh1 Rh 0.000 0.333 0.559
```

=====

(2)
A geometry-optimized Pa2Cu5Ni4 structure. Source: Alexandria via LeMat-Bulk, functional PBE.

Calculated values
volume = 14.888 Å³ per atom
uncorrected energy = -5.8489 eV per atom
energy of formation = -0.1582 eV/atom

```
data_Pa2Cu5Ni4
_chemical_formula_sum 'Pa8 Cu20 Ni16'
_space_group_name_H-M_alt 'F m m m'
_space_group_IT_number 69
_space_group_name_Hall '-F 2 2'
_cell_length_a 4.814
_cell_length_b 8.318
_cell_length_c 16.359
_cell_angle_alpha 90.00
_cell_angle_beta 90.00
_cell_angle_gamma 90.00
loop_
_atom_site_label
_atom_site_type_symbol
_atom_site_fract_x
_atom_site_fract_y
_atom_site_fract_z
Pa1 Pa 0.000 0.000 0.137
Cu1 Cu 0.000 0.000 0.500
Cu2 Cu 0.250 0.250 0.000
Cu3 Cu 0.250 0.250 0.250
Ni1 Ni 0.000 0.160 0.373
```